# LiMgZn | Alexandria via LeMat-Bulk | GGA-PBE | relaxed
# Offset from the most stable computed form = 0.0 meV per atom
# E_form = -3.0 kcal/mol of atoms
data_LiMgZn
_symmetry_space_group_name_H-M 'P -1'
_symmetry_Int_Tables_number 2
_cell_length_a 4.689
_cell_length_b 5.332
_cell_length_c 5.377
_cell_angle_alpha 63.71
_cell_angle_beta 66.59
_cell_angle_gamma 64.68
loop_
_symmetry_equiv_pos_as_xyz
'x,y,z'
'-x,-y,-z'
loop_
_atom_site_label
_atom_site_fract_x
_atom_site_fract_y
_atom_site_fract_z
_atom_site_occupancy
Li1 0.027 0.225 0.218 1
Mg1 0.320 0.587 0.267 1
Zn1 0.350 0.067 0.735 1

=====

# Na2In12Au7 | Alexandria via LeMat-Bulk | GGA-PBE | relaxed
# E_form = -5.1 kcal/mol of atoms
data_Na2In12Au7
_symmetry_space_group_name_H-M 'P -6'
_symmetry_Int_Tables_number 174
_cell_length_a 11.6021
_cell_length_b 11.6021
_cell_length_c 4.3343
_cell_angle_alpha 90.00
_cell_angle_beta 90.00
_cell_angle_gamma 120.00
loop_
_symmetry_equiv_pos_as_xyz
'x,y,z'
'-x+y,-x,-z'
'-y,x-y,z'
'x,y,-z'
'-x+y,-x,z'
'-y,x-y,-z'
loop_
_atom_site_label
_atom_site_fract_x
_atom_site_fract_y
_atom_site_fract_z
_atom_site_occupancy
Na1 0.0000 0.0000 0.0000 1
Na2 0.3333 0.6667 0.5000 1
In1 0.0463 0.2748 0.5000 1
In2 0.1141 0.7145 0.0000 1
In3 0.3870 0.1794 0.0000 1
In4 0.5376 0.4316 0.5000 1
Au1 0.0761 0.4581 0.0000 1
Au2 0.2475 0.2123 0.5000 1
Au3 0.6667 0.3333 0.0000 1

=====

# TbPr2Sm3Se6 | Alexandria via LeMat-Bulk | GGA-PBE | relaxed
# Energy relative to the elements, uncorrected = -1817 meV/atom
data_TbPr2Sm3Se6
_symmetry_space_group_name_H-M 'C 1 2/m 1'
_symmetry_Int_Tables_number 12
_cell_length_a 18.252
_cell_length_b 4.174
_cell_length_c 8.430
_cell_angle_alpha 90.00
_cell_angle_beta 103.27
_cell_angle_gamma 90.00
loop_
_symmetry_equiv_pos_as_xyz
'x,y,z'
'-x,-y,-z'
'-x,y,-z'
'x,-y,z'
'x+1/2,y+1/2,z'
'-x+1/2,-y+1/2,-z'
'-x+1/2,y+1/2,-z'
'x+1/2,-y+1/2,z'
loop_
_atom_site_label
_atom_site_fract_x
_atom_site_fract_y
_atom_site_fract_z
_atom_site_occupancy
Tb1 0.000 0.000 0.000 1
Pr1 0.168 0.500 0.336 1
Sm1 0.000 0.000 0.500 1
Sm2 0.170 0.500 0.834 1
Se1 0.003 0.500 0.757 1
Se2 0.163 0.000 0.076 1
Se3 0.164 0.000 0.588 1

=====

Number 1: magnetization 0.000 μB per cell, D(E_F) 0.2233 states/eV per atom, DFT total energy -1.7241 eV per atom. Number 2: magnetization 0.000 μB per cell, D(E_F) 0.2492 states/eV per atom, DFT total energy -3.0034 eV per atom. Number 3: magnetization 0.000 μB per cell, D(E_F) 0.4800 states/eV per atom, DFT total energy -5.9217 eV per atom.